Compound: PaVZn2O6
Source: the Alexandria database
Functional: GGA+U
Structure: optimized geometry

Cell lengths 5.3370, 5.3360, 5.9450 Å; angles 63.32, 63.32, 59.99 degrees
Atoms (fractional coordinates):
O1 0.9344 0.5767 0.2769
O2 0.0559 0.4203 0.8259
V1 0.3162 0.3162 0.0515
O3 0.5764 0.2121 0.2771
O4 0.6980 0.0555 0.8262
O5 0.4204 0.6979 0.8260
Pa1 0.8161 0.8162 0.5515
Zn1 0.0275 0.0275 0.9176
Zn2 0.6049 0.6049 0.1854
O6 0.2118 0.9344 0.2770

Calculated values
Crystal system: trigonal
DFT total energy in eV for the cell shown: -72.18
Density of states at the Fermi level in states/eV/atom: 0.000